Cd2SiAg: relaxed, PBE. Values from VASP.

Summary:
Formation energy without anion corrections, eV per atom: 0.236
E, Ry/atom: -0.1683
Calculated volume, Å³ per atom: 19.52

The structure in Quantum ESPRESSO input format:
```
&SYSTEM
  ibrav = 0, nat = 4, ntyp = 3
/
ATOMIC_SPECIES
Cd 112.41 Cd.upf
Si 28.09 Si.upf
Ag 107.87 Ag.upf
CELL_PARAMETERS angstrom
-2.1340 2.1340 4.2872
2.1340 -2.1340 4.2872
2.1340 2.1340 -4.2872
ATOMIC_POSITIONS crystal
Cd 0.2500 0.7500 0.5000
Cd 0.7500 0.2500 0.5000
Si 0.0000 0.0000 0.0000
Ag 0.5000 0.5000 0.0000
```